The following is a PBE with a Hubbard U calculation of a relaxed structure of CrI2O2, from the Alexandria database.

extended XYZ file:
```
5
Lattice="4.8795 0.0000 0.0000 0.0000 4.8795 0.0000 0.0000 0.0000 4.0153" Properties=species:S:1:pos:R:3 pbc="T T T"
Cr 0.0000 0.0000 0.0000
I 0.0000 2.4398 2.0077
I 2.4398 0.0000 2.0077
O 2.4398 2.4398 0.0000
O 2.4398 2.4398 2.0077
```

Results
Energy above the most stable polymorph in this dataset   1242 meV/atom
VASP energy   -3.0013 eV per atom